Record 1
Material: AcTb3S6
Method: DFT, PBE-GGA
State: optimized geometry Values from VASP.

```
&SYSTEM
  ibrav = 0, nat = 20, ntyp = 3
/
ATOMIC_SPECIES
Ac 227.00 Ac.upf
Tb 158.93 Tb.upf
S 32.06 S.upf
ATOMIC_POSITIONS crystal
Ac 0.054 0.250 0.197
Ac 0.946 0.750 0.803
Tb 0.162 0.250 0.590
Tb 0.323 0.750 0.999
Tb 0.451 0.250 0.334
Tb 0.549 0.750 0.666
Tb 0.677 0.250 0.001
Tb 0.838 0.750 0.410
S 0.083 0.750 0.410
S 0.124 0.250 0.963
S 0.200 0.750 0.748
S 0.276 0.750 0.231
S 0.392 0.250 0.553
S 0.478 0.250 0.110
S 0.522 0.750 0.890
S 0.608 0.750 0.447
S 0.724 0.250 0.769
S 0.800 0.250 0.252
S 0.876 0.750 0.037
S 0.917 0.250 0.590
CELL_PARAMETERS angstrom
11.213 0.000 0.000
0.000 4.080 0.000
-3.709 0.000 10.902
```

Calculated values
As for the final energy: -6.405 eV/atom. Its mass density is 6.0 g cm⁻³. As for the space group: No. 11. The value obtained for the volume is 24.9 A^3/atom.

Record 2
Material: CdAg2Hg
Method: DFT, PBE-GGA
State: optimized geometry Values from VASP.

```
&SYSTEM
  ibrav = 0, nat = 4, ntyp = 3
/
ATOMIC_SPECIES
Cd 112.41 Cd.upf
Ag 107.87 Ag.upf
Hg 200.59 Hg.upf
ATOMIC_POSITIONS crystal
Cd 0.000 0.000 0.000
Ag 0.250 0.250 0.250
Ag 0.500 0.500 0.500
Hg 0.750 0.750 0.750
CELL_PARAMETERS angstrom
0.000 3.411 3.411
3.411 0.000 3.411
3.411 3.411 0.000
```

Calculated values
As for the final energy: -1.692 eV/atom. Its mass density is 11.1 g cm⁻³. As for the formation energy: 18 meV per atom. As for the space group: No. 216. The value obtained for the volume is 19.8 A^3/atom.

Record 3
Material: Tb5CoSb2
Method: DFT, PBE-GGA
State: optimized geometry Values from VASP.

```
&SYSTEM
  ibrav = 0, nat = 32, ntyp = 3
/
ATOMIC_SPECIES
Tb 158.93 Tb.upf
Co 58.93 Co.upf
Sb 121.76 Sb.upf
ATOMIC_POSITIONS crystal
Tb 0.002 0.250 0.045
Tb 0.065 0.536 0.321
Tb 0.065 0.964 0.321
Tb 0.194 0.250 0.622
Tb 0.203 0.750 0.653
Tb 0.297 0.250 0.153
Tb 0.306 0.750 0.122
Tb 0.435 0.036 0.821
Tb 0.435 0.464 0.821
Tb 0.498 0.750 0.545
Tb 0.502 0.250 0.455
Tb 0.565 0.536 0.179
Tb 0.565 0.964 0.179
Tb 0.694 0.250 0.878
Tb 0.703 0.750 0.847
Tb 0.797 0.250 0.347
Tb 0.806 0.750 0.378
Tb 0.935 0.036 0.679
Tb 0.935 0.464 0.679
Tb 0.998 0.750 0.955
Co 0.010 0.250 0.432
Co 0.490 0.750 0.932
Co 0.510 0.250 0.068
Co 0.990 0.750 0.568
Sb 0.173 0.008 0.928
Sb 0.173 0.492 0.928
Sb 0.327 0.508 0.428
Sb 0.327 0.992 0.428
Sb 0.673 0.008 0.572
Sb 0.673 0.492 0.572
Sb 0.827 0.508 0.072
Sb 0.827 0.992 0.072
CELL_PARAMETERS angstrom
12.226 0.000 0.000
0.000 8.799 0.000
0.000 0.000 7.920
```

Calculated values
As for the final energy: -5.525 eV/atom. Its mass density is 8.6 g cm⁻³. As for the space group: No. 62. The value obtained for the volume is 26.6 A^3/atom.

Record 4
Material: Fe2AgAuSe4
Method: DFT, PBE-GGA
State: optimized geometry Values from VASP.

```
&SYSTEM
  ibrav = 0, nat = 8, ntyp = 4
/
ATOMIC_SPECIES
Fe 55.84 Fe.upf
Ag 107.87 Ag.upf
Au 196.97 Au.upf
Se 78.96 Se.upf
ATOMIC_POSITIONS crystal
Fe 0.000 0.000 0.247
Fe 0.000 0.000 0.753
Ag 0.333 0.667 0.500
Au 0.667 0.333 0.000
Se 0.333 0.667 0.333
Se 0.333 0.667 0.667
Se 0.667 0.333 0.163
Se 0.667 0.333 0.837
CELL_PARAMETERS angstrom
3.489 0.000 0.000
-1.745 3.022 0.000
0.000 0.000 15.170
```

Calculated values
As for the final energy: -4.710 eV/atom. Its mass density is 7.6 g cm⁻³. As for the space group: No. 187. The value obtained for the volume is 20.0 A^3/atom.